<A>
First-principles (PBE-GGA) data for an optimized crystal structure of Ba2CaLa, as listed in the Alexandria database.

Values from the calculation:
M_tot: 0.02 Bohr magnetons per cell

abc: 13.6978 13.6978 13.6978
angles: 17.06 17.06 17.06
Element x y z (fractional)
Ba 0.0018 0.0018 0.0018
Ca 0.2500 0.2500 0.2500
Ba 0.4982 0.4982 0.4982
La 0.7500 0.7500 0.7500

***

<B>
First-principles (PBE-GGA) data for an optimized crystal structure of Ba2CaLa, as listed in the Alexandria database.

Values from the calculation:
M_tot: 0.00 Bohr magnetons per cell

abc: 7.7630 7.7630 7.7630
angles: 146.75 129.26 62.02
Element x y z (fractional)
La 0.2602 0.7602 0.5000
Ba 0.0094 0.0094 0.0000
Ca 0.4890 0.4890 0.0000
Ba 0.7414 0.2414 0.5000

***

<C>
First-principles (PBE-GGA) data for an optimized crystal structure of Ba2CaLa, as listed in the Alexandria database.

Values from the calculation:
M_tot: 0.00 Bohr magnetons per cell

abc: 6.5270 6.5270 6.5270
angles: 60.00 60.00 60.00
Element x y z (fractional)
La 0.7500 0.7500 0.7500
Ba 0.0000 0.0000 0.0000
Ca 0.5000 0.5000 0.5000
Ba 0.2500 0.2500 0.2500

***

Most stable structure among those shown: <A>. Next: +1.2 kJ/mol of atoms.